1.
! Co5Re, optimized geometry, DFT GGA-PBEsol; values from VASP
! * size of the total moment: 6.579 μB per cell
! * calculated volume: 11.05 A^3/atom
! * space-group type: P4/mmm, No. 123
! * final energy: -8.605 eV/atom
! * N(E_F): 1.1430 states/eV/atom
! * crystal system: tetragonal
! * E above lowest polymorph: 65 meV per atom
! * energy relative to the elements: 0.06 eV per atom
&SYSTEM
  ibrav = 0, nat = 6, ntyp = 2
/
ATOMIC_SPECIES
Re 186.21 Re.upf
Co 58.93 Co.upf
CELL_PARAMETERS angstrom
-1.751 1.328 1.296
-0.307 -1.964 1.598
7.308 3.759 6.021
ATOMIC_POSITIONS angstrom
Re -1.029 -0.318 1.447
Co 5.995 3.084 4.939
Co 1.313 0.675 1.082
Co 3.796 2.163 5.422
Co 1.455 0.959 3.493
Co 3.654 1.879 3.011

=====

2.
! LiCoP4O12, optimized geometry, DFT GGA-PBEsol; values from VASP
! * size of the total moment: 0.265 μB per cell
! * formation energy from raw total energies: -1.983 eV per atom
! * calculated volume: 12.39 A^3/atom
! * space-group type: Cc, No. 9
! * final energy: -7.309 eV/atom
! * crystal system: monoclinic
! * E above lowest polymorph: 0 meV per atom
&SYSTEM
  ibrav = 0, nat = 36, ntyp = 4
/
ATOMIC_SPECIES
P 30.97 P.upf
Co 58.93 Co.upf
O 16.00 O.upf
Li 6.94 Li.upf
CELL_PARAMETERS angstrom
7.346 -0.081 -0.121
-1.072 8.107 0.023
-1.072 -3.043 7.515
ATOMIC_POSITIONS angstrom
P 3.124 0.951 5.703
P 5.355 0.218 4.249
P 4.399 3.447 6.980
P 0.726 5.200 5.890
P 1.108 1.458 0.294
P 4.782 -0.320 1.401
P 1.682 3.892 1.869
P -0.549 4.961 3.097
Co 0.906 6.633 0.941
Co 4.579 -1.677 6.436
O 5.352 -1.229 4.766
O -1.080 1.292 4.954
O 1.056 0.157 1.045
O 0.129 6.230 2.609
O 2.058 5.756 5.433
O 3.802 0.020 6.693
O 2.402 7.229 1.921
O -1.271 -0.913 7.479
O 3.831 0.752 4.273
O 5.628 0.081 2.681
O 1.955 2.492 1.149
O 5.338 4.718 2.953
O 2.593 4.057 3.008
O -1.615 2.895 7.443
O 4.729 0.867 0.479
O 0.742 3.993 6.817
O 4.609 6.626 0.795
O 4.415 4.761 6.213
O 1.679 4.918 0.725
O 0.158 3.712 2.372
O 0.936 -1.728 6.495
O -0.078 4.748 4.633
O 3.595 2.454 6.087
O 1.665 0.991 5.545
Li 0.153 1.856 6.232
Li 3.826 5.028 4.013

=====

3.
! NbB3I, optimized geometry, DFT GGA-PBEsol; values from VASP
! * size of the total moment: 0.004 μB per cell
! * formation energy from raw total energies: 2.665 eV per atom
! * calculated volume: 15.35 A^3/atom
! * space-group type: Pm-3m, No. 221
! * final energy: -4.063 eV/atom
! * N(E_F): 0.9719 states/eV/atom
! * crystal system: cubic
! * E above lowest polymorph: 818 meV per atom
&SYSTEM
  ibrav = 0, nat = 5, ntyp = 3
/
ATOMIC_SPECIES
I 126.90 I.upf
Nb 92.91 Nb.upf
B 10.81 B.upf
CELL_PARAMETERS angstrom
-2.605 3.355 0.156
-0.060 -0.245 4.242
3.358 2.598 0.198
ATOMIC_POSITIONS angstrom
I 0.000 0.000 0.000
Nb 0.346 2.854 2.298
B -0.030 -0.122 2.121
B 1.679 1.299 0.099
B -1.302 1.677 0.078